Density functional theory data (PBE) for a geometry-optimized Pu3Si9Tc2 structure.

Lattice parameters (Å, degrees): 5.9351 10.2799 15.2566 90.00 90.13 90.00
Space group C2/c (No. 15)
One atom of each set of equivalent atoms:
Pu: 0.0000 0.0000 0.2500
Pu: 0.0000 0.3333 0.0747
Si: 0.0000 0.1388 0.5690
Si: 0.0000 0.4695 0.2500
Si: 0.2042 0.2653 0.2500
Si: 0.2082 0.0694 0.0690
Si: 0.2081 0.0694 0.4310
Tc: 0.9999 0.3333 0.6541

Energy, eV per atom: -8.505
ΔE_f (raw), eV per atom: -0.4666
M_tot, μB per cell: 25.33
Crystal system: monoclinic

Density functional theory data (PBE) for a geometry-optimized PuSi2Tc3 structure.

Lattice parameters (Å, degrees): 9.3232 9.3232 3.9399 90.00 90.00 120.00
Space group P6/mmm (No. 191)
One atom of each set of equivalent atoms:
Pu: 0.0000 0.0000 0.0000
Pu: 0.3333 0.6667 0.5000
Si: 0.1970 0.3939 0.0000
Tc: 0.0000 0.2791 0.5000
Tc: 0.0000 0.5000 0.0000

Energy, eV per atom: -9.731
ΔE_f (raw), eV per atom: -0.3514
M_tot, μB per cell: 12.19
Crystal system: hexagonal

Density functional theory data (PBE) for a geometry-optimized Pu3Si7Tc structure.

Lattice parameters (Å, degrees): 3.9240 18.7936 10.7029 90.00 90.00 90.00
Space group Cmcm (No. 63)
One atom of each set of equivalent atoms:
Pu: 0.0000 0.1081 0.0523
Pu: 0.0000 0.2367 0.7500
Si: 0.0000 0.2695 0.0426
Si: 0.0000 0.3754 0.1438
Si: 0.0000 0.3881 0.7500
Si: 0.0000 0.4997 0.1171
Tc: 0.0000 0.0531 0.7500

Energy, eV per atom: -8.672
ΔE_f (raw), eV per atom: -0.3700
M_tot, μB per cell: 20.23
Crystal system: orthorhombic

What did the first record say?
Density functional theory data (PBE) for a geometry-optimized Pu3Si9Tc2 structure.

Lattice parameters (Å, degrees): 5.9351 10.2799 15.2566 90.00 90.13 90.00
Space group C2/c (No. 15)
One atom of each set of equivalent atoms:
Pu: 0.0000 0.0000 0.2500
Pu: 0.0000 0.3333 0.0747
Si: 0.0000 0.1388 0.5690
Si: 0.0000 0.4695 0.2500
Si: 0.2042 0.2653 0.2500
Si: 0.2082 0.0694 0.0690
Si: 0.2081 0.0694 0.4310
Tc: 0.9999 0.3333 0.6541

Energy, eV per atom: -8.505
ΔE_f (raw), eV per atom: -0.4666
M_tot, μB per cell: 25.33
Crystal system: monoclinic